CaTaPb2O8 PBE relaxed; magnetization = 0.96 μB per cell; N(E_F) = 8.950 states/eV/cell; DFT total energy = -81.1 eV per cell
1.0
-3.184 -2.508 -2.957
3.461 -3.502 -0.950
-2.164 -3.600 5.385
O Ta Pb Ca
8 1 2 1
direct
0.190 0.809 0.787 O
0.288 0.288 0.000 O
0.810 0.191 0.213 O
0.712 0.712 0.000 O
0.686 0.688 0.500 O
0.810 0.191 0.787 O
0.314 0.312 0.500 O
0.190 0.809 0.213 O
0.000 0.000 0.000 Ta
0.500 0.500 0.751 Pb
0.500 0.500 0.249 Pb
0.000 0.000 0.500 Ca